This record from the Alexandria database describes a geometry-optimized FeCoPb2 structure. The functional is GGA-PBE.

```
FeCoPb2
1.0
-0.6320 -2.3025 -2.1116
-1.0948 -1.8544 2.3499
-7.5724 3.0829 -1.0952
Co Pb Fe
1 2 1
Cartesian
-4.2675 1.7374 -0.6172
-7.0125 2.8549 -1.0142
-3.3252 -1.0762 -0.2369
-6.0528 0.0343 -0.6313
```

Values from the calculation:
Its formation energy is 0.2890 eV/atom. The space group is P4mm.



This record from the Alexandria database describes a geometry-optimized ZrPd4Au structure. The functional is GGA-PBE.

```
ZrPd4Au
1.0
4.7714 0.9947 0.2297
0.9819 4.8703 1.1250
0.4910 0.3990 9.3776
Pd Zr Au
8 2 2
Cartesian
4.5638 4.5440 4.2069
1.3353 3.3567 1.6716
2.1643 3.7259 5.4679
4.2119 4.6461 9.4623
1.6872 0.9601 6.3499
1.6705 1.5696 3.6987
4.5471 3.9291 6.8569
4.0590 1.7725 5.0876
4.0062 2.4488 2.3750
2.1115 3.1440 8.2023
4.8194 2.0293 8.8123
1.9428 0.7199 1.1081
```

Values from the calculation:
Its energy relative to the lowest polymorph listed for this composition is 20.3 meV/atom. Its formation energy is -0.4217 eV/atom. The space group is Cc.



This record from the Alexandria database describes a geometry-optimized Cd2HgTe structure. The functional is GGA-PBE.

```
Cd2HgTe
1.0
-0.7670 3.5572 -2.6224
-2.9149 3.1538 1.2946
3.6400 5.5020 2.5627
Cd Te Hg
2 1 1
Cartesian
0.0029 3.0622 0.3170
2.3808 4.6574 1.7853
1.1626 9.9608 1.6635
0.0307 6.1412 0.6494
```

Values from the calculation:
Its energy relative to the lowest polymorph listed for this composition is 0.0 meV/atom. The space group is R3m.



This record from the Alexandria database describes a geometry-optimized Pm6Pr8Ho structure. The functional is GGA-PBE.

```
Pm6Pr8Ho
1.0
-1.9285 1.1581 9.7659
7.2553 -1.4879 6.7512
3.3364 5.7478 5.1193
Pr Pm Ho
8 6 1
Cartesian
2.4111 3.3652 13.9778
2.5932 2.8890 7.4944
7.9429 1.6944 10.9942
4.7354 4.2244 10.7182
0.7203 3.7236 10.6422
6.0700 2.5290 14.1420
3.9278 1.1936 10.9182
6.2521 2.0528 7.6586
1.9848 -0.1755 2.8272
-0.5075 0.7401 6.6403
3.9735 -0.4289 7.0189
4.6897 5.8469 14.6175
9.1707 4.6779 14.9961
6.6784 5.5935 18.8092
0.0000 0.0000 0.0000
```

Values from the calculation:
Its energy relative to the lowest polymorph listed for this composition is 37.9 meV/atom. Its formation energy is 0.1485 eV/atom. The space group is R-3.



This record from the Alexandria database describes a geometry-optimized Fe structure. The functional is GGA-PBE.

```
Fe
1.0
-0.7697 3.4572 -2.0332
-2.3559 -3.3071 0.4369
-1.4109 1.3873 2.8931
Fe
4
Cartesian
-2.1207 -2.3042 0.0707
-2.5034 -0.2342 1.0147
-1.0049 2.4543 -1.6670
-2.0331 1.7716 0.2822
```

Values from the calculation:
Its energy relative to the lowest polymorph listed for this composition is 502.2 meV/atom. Its formation energy is 0.5022 eV/atom. The space group is Fmmm.



This record from the Alexandria database describes a geometry-optimized Cr2PRu structure. The functional is GGA-PBE.

```
Cr2PRu
1.0
-3.6799 -0.9713 -1.7120
0.1008 -3.0583 1.5184
-1.6080 1.2975 2.7202
Cr Ru P
2 1 1
Cartesian
-0.7536 -0.8804 2.1193
0.0000 0.0000 0.0000
-2.6439 0.1631 0.5041
-1.7895 -2.0148 -0.0968
```

Values from the calculation:
Its formation energy is -0.0070 eV/atom. The space group is P4/mmm.



This record from the Alexandria database describes a geometry-optimized AlCr2Cd structure. The functional is GGA-PBE.

```
AlCr2Cd
1.0
-6.9873 -2.8744 5.2550
-4.9322 -3.4199 6.9769
-6.0226 -0.9117 6.8991
Cd Cr Al
1 2 1
Cartesian
-13.4566 -5.4045 14.3483
-9.0643 -3.6405 9.6649
-17.8489 -7.1686 19.0316
-4.4855 -1.8015 4.7828
```

Values from the calculation:
Its formation energy is 0.4529 eV/atom. The space group is R-3m.



This record from the Alexandria database describes a geometry-optimized K5Sn2S6 structure. The functional is GGA-PBE.

```
K5Sn2S6
1.0
-0.7666 7.1033 -3.1599
-7.0192 3.3225 0.8491
2.8481 9.5085 13.4089
S K Sn
12 10 4
Cartesian
-4.0476 10.0635 3.3339
-4.8917 18.1979 9.5159
-4.6528 8.5429 -0.8522
-2.5108 14.8859 9.9661
-0.5166 7.3581 4.4814
-4.4211 12.5762 6.6167
-6.3276 13.4364 2.8191
-2.4269 5.0483 1.1320
1.3899 6.4978 8.2790
-0.2849 11.3913 11.9503
-0.8902 9.8707 7.7642
-0.0461 1.7364 1.5822
0.4567 4.7549 2.6203
-2.7081 14.0748 13.1011
0.0215 8.3848 10.5169
-5.3945 15.1794 8.4778
-4.9592 11.5494 0.5812
-1.2080 11.0887 4.5218
-2.2296 5.8594 -2.0030
-3.7297 8.8455 6.5763
-2.8922 11.6577 9.6292
-2.0456 8.2765 1.4689
-5.4449 11.7819 4.3578
-2.7659 17.2950 10.2576
-2.1718 2.6392 0.8405
0.5072 8.1523 6.7403
```

Values from the calculation:
The space group is C2/c. Its total energy is -0.14154 hartree per atom.



Number 1: total moment 4.3 μB/f.u.. Number 2: total moment 0.0 μB/f.u.. Number 3: total moment 0.0 μB/f.u.. Number 4: total moment 0.0 μB/f.u.. Number 5: total moment 0.0 μB/f.u.. Number 6: total moment 0.0 μB/f.u.. Number 7: total moment 0.7 μB/f.u.. Number 8: total moment 0.0 μB/f.u..